Below is a relaxed structure of Sm2PaN4, with properties calculated at the GGA-PBE level.

As for the space group: No. 55. The calculation puts the magnetization at 0.8 μB/f.u. For the energy above the most stable polymorph in this dataset, the calculation gives 0 meV per atom. For the electronic total energy, the calculation gives -8.872 eV/atom. The calculation puts the formation energy (no corrections) at -1.410 eV/atom.

Cell lengths 6.015, 9.996, 3.624 Å; angles 90.00, 90.00, 90.00 degrees
Element x y z (fractional)
Sm  0.062  0.175  0.000
Sm  0.438  0.675  0.000
Sm  0.562  0.325  0.000
Sm  0.938  0.825  0.000
Pa  0.000  0.500  0.500
Pa  0.500  0.000  0.500
N  0.150  0.698  0.500
N  0.234  0.459  0.000
N  0.266  0.959  0.000
N  0.350  0.198  0.500
N  0.650  0.802  0.500
N  0.734  0.041  0.000
N  0.766  0.541  0.000
N  0.850  0.302  0.500